## K3Ba2MoO6 (PBE+U)

Data for an optimized crystal structure of K3Ba2MoO6.

POSCAR file:
```
K3Ba2MoO6
1.0
3.2291 -5.6041 0.0000
3.2291 5.6041 0.0000
-2.1263 0.0000 6.1779
K Ba Mo O
3 2 1 6
Direct
0.0000 0.0000 0.0000 K
0.3451 0.6549 0.0000 K
0.6549 0.3451 0.0000 K
0.1698 0.8302 0.5000 Ba
0.8302 0.1698 0.5000 Ba
0.5000 0.5000 0.5000 Mo
0.1675 0.4347 0.3045 O
0.3084 0.3084 0.6825 O
0.4347 0.1675 0.3045 O
0.5653 0.8325 0.6955 O
0.6916 0.6916 0.3175 O
0.8325 0.5653 0.6955 O
```

DOS(E_F) = 0.00 states/eV/f.u.
Total DFT energy (no corrections) = -5.587 eV/atom